Computed, not measured: a geometry-optimized GdDyMg2 structure at the PBE level of DFT.

a = 5.3632 Å, b = 5.3632 Å, c = 3.7997 Å
α = 90.00°, β = 90.00°, γ = 90.00°
Last column: nearest neighbours and their distance in Å.
Sites, in units of the cell vectors:
Dy: 0.0000 0.0000 0.5000  8 Mg 3.29
Gd: 0.5000 0.5000 0.5000  8 Mg 3.29
Mg: 0.5000 0.0000 0.0000  4 Dy 3.29, 4 Gd 3.29
Mg: 0.0000 0.5000 0.0000  4 Gd 3.29, 4 Dy 3.29

Computed properties:
Total magnetization ... 0.02 μB/atom
Calculated total energy ... -3.17 eV/atom
Mass density ... 5.60 g/cm³